A plane-wave DFT calculation with PBE was carried out for crystalline Sm2Dy4Ho at its relaxed geometry.

a b c (Å): 6.0738 6.6078 11.5794
angles (deg): 90.00 104.13 90.00
With the nearest neighbours (Å) after each atom.
Fractional positions:
Sm 0.1003 0.2500 0.4956  6 Dy 3.35-3.70, 2 Ho 3.39-3.66, 2 Sm 3.53
Sm 0.2119 0.2500 0.0688  9 Dy 3.34-3.57
Sm 0.7881 0.7500 0.9312  9 Dy 3.34-3.57
Sm 0.8997 0.7500 0.5044  6 Dy 3.35-3.70, 2 Ho 3.39-3.66, 2 Sm 3.53
Dy 0.1467 0.0048 0.7882  5 Dy 3.24-3.53, 1 Ho 3.45, 2 Sm 3.48-3.57
Dy 0.1467 0.4952 0.7882  5 Dy 3.24-3.53, 1 Ho 3.45, 2 Sm 3.48-3.57
Dy 0.3502 0.7500 0.0583  1 Ho 3.32, 4 Sm 3.34-3.42, 4 Dy 3.50-3.53
Dy 0.4838 0.7500 0.6481  3 Sm 3.35-3.53, 2 Dy 3.36, 3 Ho 3.40-3.45
Dy 0.5162 0.2500 0.3519  3 Sm 3.35-3.53, 2 Dy 3.36, 3 Ho 3.40-3.45
Dy 0.6498 0.2500 0.9417  1 Ho 3.32, 4 Sm 3.34-3.42, 4 Dy 3.50-3.53
Dy 0.8533 0.5048 0.2118  5 Dy 3.24-3.53, 1 Ho 3.45, 2 Sm 3.48-3.57
Dy 0.8533 0.9952 0.2118  5 Dy 3.24-3.53, 1 Ho 3.45, 2 Sm 3.48-3.57
Ho 0.3519 0.7500 0.3452  6 Dy 3.32-3.45, 2 Sm 3.39-3.66
Ho 0.6481 0.2500 0.6548  6 Dy 3.32-3.45, 2 Sm 3.39-3.66

Calculated values
The value obtained for the formation energy is 13.2 kJ per mole of atoms. The calculation puts the energy above the lowest structure with this stoichiometry at 0.000 eV/atom. The value obtained for the total energy is -31.47 eV per formula unit.